# 1
## Pr2NiHg (PBE)

Data for a relaxed structure of Pr2NiHg.

a b c (Å): 5.0728 8.4297 6.1078
angles (deg): 110.22 114.54 90.00
With the nearest neighbours (Å) after each atom.
Sites, in units of the cell vectors:
Pr1 0.1704 0.5854 0.3413  2 Ni 2.74
Pr2 0.8296 0.4146 0.6587  2 Ni 2.74
Pr3 0.1709 0.0854 0.3413  2 Ni 2.74
Pr4 0.8291 0.9146 0.6587  2 Ni 2.74
Ni1 0.0006 0.7500 0.0000  2 Hg 2.54, 4 Pr 2.74
Ni2 0.9994 0.2500 0.0000  2 Hg 2.54, 4 Pr 2.74
Hg1 0.4995 0.2500 0.0000  2 Ni 2.54
Hg2 0.5005 0.7500 0.0000  2 Ni 2.54

Summary:
For the total energy, the calculation gives -0.297 Ry per atom. Its energy relative to the elements is -0.131 eV/atom. As for the total magnetization: 0.00 μB per formula unit. As for the energy above the most stable polymorph in this dataset: 0.774 eV/f.u.


# 2
## Tb3Y8Sc2 (PBE)

Data for a relaxed structure of Tb3Y8Sc2.

a b c (Å): 6.7071 9.3695 9.3695
angles (deg): 58.10 62.79 62.79
With the nearest neighbours (Å) after each atom.
Sites, in units of the cell vectors:
Tb1 0.5000 0.0000 0.0000  6 Y 3.11-3.43, 2 Sc 3.37
Tb2 0.0000 0.1703 0.8297  1 Tb 3.10, 4 Y 3.41-3.42
Tb3 0.0000 0.8297 0.1703  1 Tb 3.10, 4 Y 3.41-3.42
Y1 0.0336 0.5928 0.5928  4 Y 3.30-3.49, 2 Tb 3.42, 1 Sc 3.48
Y2 0.9664 0.4072 0.4072  4 Y 3.30-3.49, 2 Tb 3.42, 1 Sc 3.48
Y3 0.0161 0.1897 0.1897  1 Tb 3.11, 1 Sc 3.23, 3 Y 3.40-3.47
Y4 0.9839 0.8103 0.8103  1 Tb 3.11, 1 Sc 3.23, 3 Y 3.40-3.47
Y5 0.5470 0.5601 0.1980  4 Y 3.29-3.67, 2 Sc 3.31-3.43, 2 Tb 3.41-3.43
Y6 0.5470 0.1980 0.5601  4 Y 3.29-3.67, 2 Sc 3.31-3.43, 2 Tb 3.41-3.43
Y7 0.4530 0.8020 0.4399  4 Y 3.29-3.67, 2 Sc 3.31-3.43, 2 Tb 3.41-3.43
Y8 0.4530 0.4399 0.8020  4 Y 3.29-3.67, 2 Sc 3.31-3.43, 2 Tb 3.41-3.43
Sc1 0.5210 0.2010 0.2010  7 Y 3.23-3.49, 3 Tb 3.37-3.54
Sc2 0.4790 0.7990 0.7990  7 Y 3.23-3.49, 3 Tb 3.37-3.54

Summary:
For the total energy, the calculation gives -0.426 Ry per atom. Its energy relative to the elements is 0.230 eV/atom. As for the total magnetization: 0.00 μB per formula unit. As for the energy above the most stable polymorph in this dataset: 0.000 eV/f.u.


Question: The highest energy relative to the elements belongs to which entry?
Answer: Tb3Y8Sc2